# YTaZn (PBE, optimized geometry)
data_YTaZn
_cell_length_a 6.505
_cell_length_b 6.505
_cell_length_c 6.505
_cell_angle_alpha 90.00
_cell_angle_beta 90.00
_cell_angle_gamma 90.00
_space_group_name_H-M_alt 'F -4 3 m'
_space_group_IT_number 216
_space_group_name_Hall 'F -4 2 3'
loop_
_atom_site_label
_atom_site_type_symbol
_atom_site_fract_x
_atom_site_fract_y
_atom_site_fract_z
_atom_site_occupancy
Y1 Y 0.000 0.000 0.000 1
Ta1 Ta 0.000 0.000 0.500 1
Zn1 Zn 0.250 0.250 0.750 1
# **DFT formation energy**: 0.588 eV/atom
# **Energy above the most stable polymorph in this dataset**: 0.4599 eV per atom
# **E_tot**: -5.942 eV per atom